The following is a PBE with a Hubbard U calculation of a relaxed structure of TlCoAuO3, from the Open Quantum Materials Database.

The structure in POSCAR format:
```
TlCoAuO3
1.0
9.958 0.000 0.000
0.000 3.176 0.000
0.000 0.000 10.261
O Au Tl Co
12 4 4 4
Cartesian
2.284 1.588 4.173 O
4.492 0.000 4.125 O
0.487 0.000 9.255 O
7.263 0.000 0.957 O
5.466 1.588 6.136 O
7.674 0.000 6.088 O
7.018 1.588 3.782 O
9.471 1.588 1.006 O
2.695 1.588 9.304 O
7.919 1.588 8.912 O
2.039 0.000 1.349 O
2.940 0.000 6.479 O
9.063 1.588 5.647 Au
4.084 0.000 9.745 Au
0.895 0.000 4.614 Au
5.874 1.588 0.517 Au
1.275 1.588 7.506 Tl
6.254 0.000 7.886 Tl
3.704 1.588 2.375 Tl
8.683 0.000 2.755 Tl
3.726 1.588 5.516 Co
8.705 0.000 9.875 Co
1.253 1.588 0.386 Co
6.232 0.000 4.745 Co
```

Summary:
**Electronic total energy**: -4.679 eV per atom
**Crystal system**: orthorhombic
**Magnetization**: 3.24 μB per formula unit
**Symmetry**: Pnma